Density functional theory data (PBE) for a relaxed structure of Pm4Sm3Er4.

E above lowest polymorph: 0.000 eV per atom
ΔH_f (0 K): 0.15 eV/atom

Structure (POSCAR):
```
Pm4Sm3Er4
1.0
5.7145 0.0000 0.0000
-2.8572 6.0296 0.0000
0.0000 0.0000 10.6774
Pm Sm Er
4 3 4
Direct
0.7534 0.5069 0.7893
0.7534 0.5069 0.2107
0.8836 0.7673 0.5000
0.9603 0.9207 0.0000
0.4098 0.8197 0.2905
0.4098 0.8197 0.7095
0.2539 0.5078 0.0000
0.6117 0.2235 0.5000
0.5546 0.1091 0.0000
0.1039 0.2077 0.6983
0.1039 0.2077 0.3017
```

***

Density functional theory data (PBE) for a relaxed structure of Pm3Sm5Er2.

E above lowest polymorph: 0.187 eV per atom
ΔH_f (0 K): 0.37 eV/atom

Structure (POSCAR):
```
Pm3Sm5Er2
1.0
-10.8169 0.5898 2.2634
-4.0406 -3.1811 8.5747
-3.8871 6.1218 6.8837
Pm Sm Er
6 10 4
Direct
0.2500 0.0000 0.0000
0.7500 0.0000 0.0000
0.3740 0.3765 0.8755
0.6260 0.6235 0.1245
0.8740 0.8755 0.3765
0.1260 0.1245 0.6235
0.2500 0.5000 0.5000
0.7500 0.5000 0.5000
0.5004 0.7496 0.7496
0.9996 0.2504 0.2504
0.4996 0.2504 0.2504
0.0004 0.7496 0.7496
0.1221 0.4775 0.2783
0.8779 0.5225 0.7217
0.6221 0.2783 0.4775
0.3779 0.7217 0.5225
0.1260 0.7876 0.9603
0.8740 0.2124 0.0397
0.6260 0.9603 0.7876
0.3740 0.0397 0.2124
```

***

Density functional theory data (PBE) for a relaxed structure of PmSmEr2.

E above lowest polymorph: 0.000 eV per atom
ΔH_f (0 K): 0.02 eV/atom

Structure (POSCAR):
```
PmSmEr2
1.0
-3.0435 -1.8757 -0.0944
-0.1407 -3.0908 -1.7936
2.1513 -7.3496 8.9309
Pm Sm Er
1 1 2
Direct
0.0000 0.0000 0.0000
0.5000 0.5000 0.5000
0.7502 0.7502 0.7494
0.2498 0.2498 0.2506
```

***

Density functional theory data (PBE) for a relaxed structure of Pm3Sm8Er3.

ΔH_f (0 K): 0.10 eV/atom

Structure (POSCAR):
```
Pm3Sm8Er3
1.0
5.5919 -0.0022 1.1205
2.7529 9.3288 0.7813
1.0693 -3.1937 9.1582
Pm Sm Er
3 8 3
Direct
0.5000 0.0000 0.0000
0.0000 0.8196 0.1804
0.0000 0.1804 0.8196
0.6590 0.1191 0.5624
0.3410 0.8809 0.4376
0.6590 0.5624 0.1191
0.3410 0.4376 0.8809
0.8393 0.7638 0.5580
0.1607 0.2362 0.4420
0.8393 0.5580 0.7638
0.1607 0.4420 0.2362
0.5000 0.5000 0.5000
0.7981 0.2018 0.2018
0.2019 0.7982 0.7982
```